No. 1
BeNiAsO2: relaxed, PBE+U.

Results
- symmetry = P4/mmm (123)

Unit cell a=4.038 b=4.038 c=4.075 alpha=90.00 beta=90.00 gamma=90.00
Fractional positions:
Be1 0.000 0.000 0.000
Ni1 0.500 0.500 0.000
As1 0.000 0.000 0.500
O1 0.000 0.500 0.500
O2 0.500 0.000 0.500


No. 2
Be2NiAsO: relaxed, PBE+U.

Results
- symmetry = P4/mmm (123)

Unit cell a=4.227 b=4.227 c=3.981 alpha=90.00 beta=90.00 gamma=90.00
Fractional positions:
Be1 0.000 0.500 0.000
Be2 0.500 0.000 0.000
Ni1 0.000 0.000 0.500
As1 0.500 0.500 0.000
O1 0.500 0.500 0.500


| no. | raw total energy (eV/atom) |
| --- | --- |
| 1 | -3.7366 |
| 2 | -3.2485 |